Entry 1:
Compound: LaSn3Pd3
Source: Alexandria via LeMat-Bulk
Functional: PBE
Structure: optimized geometry

abc: 7.264 7.264 7.264
angles: 90.00 90.00 90.00
Space group Pm-3n (No. 223)
Inequivalent atoms, fractional coordinates:
La1 0.000 0.000 0.000 (multiplicity 2)
Sn1 0.000 0.250 0.500 (multiplicity 6)
Pd1 0.000 0.500 0.250 (multiplicity 6)

Properties
* DFT formation energy: -2.1 eV per formula unit
* relative energy among the computed polymorphs: 0.252 eV per atom
* volume: 383 Å³ per cell


Entry 2:
Compound: YAg2Pb2
Source: Alexandria via LeMat-Bulk
Functional: PBE
Structure: optimized geometry

abc: 8.496 8.496 3.498
angles: 90.00 90.00 90.00
Space group P4/mbm (No. 127)
Inequivalent atoms, fractional coordinates:
Y1 0.000 0.000 0.000 (multiplicity 2)
Ag1 0.152 0.348 0.500 (multiplicity 4)
Pb1 0.147 0.647 0.000 (multiplicity 4)

Properties
* DFT formation energy: -0.1 eV per formula unit
* relative energy among the computed polymorphs: 0.084 eV per atom
* volume: 253 Å³ per cell


Entry 3:
Compound: BeCrRh2
Source: Alexandria via LeMat-Bulk
Functional: PBE
Structure: optimized geometry

abc: 2.881 4.401 7.795
angles: 90.00 90.00 90.00
Space group Cmmm (No. 65)
Inequivalent atoms, fractional coordinates:
Be1 0.000 0.000 0.000 (multiplicity 2)
Cr1 0.000 0.000 0.500 (multiplicity 2)
Rh1 0.000 0.500 0.228 (multiplicity 4)

Properties
* DFT formation energy: 0.0 eV per formula unit
* volume: 99 Å³ per cell


Q: Which of these has the lowest DFT formation energy?
A: LaSn3Pd3


Q: Which value of volume does entry 3 give?
A: 99 Å³ per cell


Q: Among the records above, which one has the lowest DFT formation energy?
A: LaSn3Pd3


Q: Which value of volume does entry 2 give?
A: 253 Å³ per cell